The following is a PBE-GGA calculation of a relaxed structure of CaTa2Os2, from Alexandria via LeMat-Bulk.

Its density of states at the Fermi level is 0.69 states/eV/atom. The value obtained for the raw total energy is -9.655 eV/atom. The total magnetization comes out at 0.00 μB per cell. The formation energy comes out at -22 meV per atom. As for the energy above the lowest structure with this stoichiometry: 0.154 eV/atom.

a b c (Å): 7.890 7.890 3.004
angles (deg): 90.00 90.00 90.00
Element x y z (fractional)
Ta 0.147 0.647 0.500
Ta 0.353 0.147 0.500
Ta 0.647 0.853 0.500
Ta 0.853 0.353 0.500
Ca 0.000 0.000 0.000
Ca 0.500 0.500 0.000
Os 0.357 0.857 0.000
Os 0.643 0.143 0.000
Os 0.857 0.643 0.000
Os 0.143 0.357 0.000